{
  "formula": "ZrInSe2",
  "functional": "PBEsol",
  "state": "relaxed",
  "raw_formation_energy_ev_per_atom": -0.480,
  "space_group": "I-4m2, No. 119",
  "final_energy_ev_per_cell": -21.69,
  "lattice_angstrom": [[-1.459, -3.420, -1.379], [2.783, -0.048, -2.825], [2.560, -0.937, 5.321]],
  "species": ["Se", "In", "Zr", "Se"],
  "frac_coords": [[0.750, 0.250, 0.500], [0.250, 0.750, 0.500], [0.500, 0.500, 0.000], [0.000, 0.000, 0.000]]
}